An optimized crystal structure of Be2CdBr. Source: the Alexandria database, functional PBE.

extended XYZ file:
```
4
Lattice="3.008 -4.134 0.000 3.008 4.134 0.000 -1.894 0.000 2.939" Properties=species:S:1:pos:R:3 pbc="T T T"
Be 1.504 2.067 0.000
Be 1.504 -2.067 0.000
Cd -0.947 0.000 1.470
Br 2.061 0.000 1.470
```

Values from the calculation:
- N(E_F) (states/eV per cell) = 1.41
- polymorph energy (0 for the lowest one) (meV per atom) = 439
- magnetic moment (μB per formula unit) = 0.000
- SG = C2/m (12)